Record 1
LaIr2Br: optimized geometry, PBE-GGA.

Computed properties:
**E_form (uncorrected)**: 0.53 eV per atom
**E_tot**: -5.5549 eV/atom
**Excess energy over the best structure of this formula in the dataset**: 1033.2 meV per atom
**Magnetic moment**: 0.76 μB/cell
**Calculated volume**: 20.78 A^3/atom
**D(E_F)**: 6.54 states/eV/cell

a b c (Å): 4.898 4.898 4.898
angles (deg): 60.00 60.00 60.00
Last column: magnetic moment on the atom in μB.
Atoms (fractional coordinates):
La 0.500 0.500 0.500  -0.02
Ir 0.750 0.750 0.750  0.36
Br 0.000 0.000 0.000  0.07
Ir 0.250 0.250 0.250  0.36

---

Record 2
LaIr2Br: optimized geometry, PBE-GGA.

Computed properties:
**E_form (uncorrected)**: 0.07 eV per atom
**E_tot**: -6.0115 eV/atom
**Excess energy over the best structure of this formula in the dataset**: 576.6 meV per atom
**Magnetic moment**: 0.00 μB/cell
**Calculated volume**: 21.73 A^3/atom
**D(E_F)**: 8.63 states/eV/cell

a b c (Å): 4.107 4.107 10.709
angles (deg): 78.95 78.95 90.00
Atoms (fractional coordinates):
La 0.000 0.000 0.000
Ir 0.375 0.432 0.750
La 0.750 0.250 0.500
Ir 0.568 0.125 0.250
Br 0.250 0.750 0.500
Ir 0.182 0.625 0.250
Br 0.500 0.500 0.000
Ir 0.875 0.818 0.750

---

Record 3
La5IrBr5: optimized geometry, PBE-GGA.

Computed properties:
**E_form (uncorrected)**: -1.40 eV per atom
**E_tot**: -5.2063 eV/atom
**Magnetic moment**: 0.00 μB/cell
**Calculated volume**: 31.37 A^3/atom
**D(E_F)**: 9.16 states/eV/cell

a b c (Å): 6.132 7.355 8.952
angles (deg): 108.02 90.00 114.64
Atoms (fractional coordinates):
Br 0.353 0.706 0.207
Ir 0.000 0.000 0.000
La 0.500 0.000 0.000
Br 0.673 0.346 0.358
Br 0.000 0.000 0.500
Br 0.327 0.654 0.642
La 0.854 0.708 0.710
Br 0.647 0.294 0.793
La 0.171 0.341 0.862
La 0.146 0.292 0.290
La 0.829 0.659 0.138

---

Record 4
LaIr2Br: optimized geometry, PBE-GGA.

Computed properties:
**E_form (uncorrected)**: -0.01 eV per atom
**E_tot**: -6.0933 eV/atom
**Excess energy over the best structure of this formula in the dataset**: 494.8 meV per atom
**Magnetic moment**: 0.00 μB/cell
**Calculated volume**: 19.53 A^3/atom
**D(E_F)**: 3.60 states/eV/cell

a b c (Å): 5.801 5.801 5.801
angles (deg): 147.93 130.49 60.21
Atoms (fractional coordinates):
Ir 0.011 0.011 0.000
La 0.750 0.250 0.500
Br 0.250 0.750 0.500
Ir 0.489 0.489 0.000